Record 1
DFT (SCAN) results for a crystal of SiS relaxed with PBEsol.

The space group is Pmna (No. 53) and the conventional cell measures 6.551, 7.645 and 3.913 Å, with angles of 90.00, 90.00 and 90.00 degrees. The asymmetric unit holds Si at (0.250, 0.086, 0.250) and S at (0.000, 0.263, 0.156).

The formation energy from raw total energies is -0.484 eV per atom. The energy is -10.3057 eV/atom. The calculation puts the theoretical density at 2.0 g cm⁻³.

Record 2
DFT (SCAN) results for a crystal of FeHgB2C relaxed with PBEsol.

The space group is P4/mmm (No. 123) and the conventional cell measures 3.345, 3.345 and 5.769 Å, with angles of 90.00, 90.00 and 90.00 degrees. The asymmetric unit holds Fe at (0.000, 0.000, 0.000), Hg at (0.500, 0.500, 0.000), B at (0.000, 0.500, 0.500) and C at (0.500, 0.500, 0.500).

The energy is -20.5055 eV/atom. The formation enthalpy at 0 K is 1745 meV/atom. The calculation puts the theoretical density at 7.5 g cm⁻³.

Record 3
DFT (SCAN) results for a crystal of SrHg2OsBr relaxed with PBEsol.

The space group is P4/mmm (No. 123) and the conventional cell measures 5.110, 5.110 and 5.827 Å, with angles of 90.00, 90.00 and 90.00 degrees. The asymmetric unit holds Sr at (0.000, 0.000, 0.000), Hg at (0.000, 0.500, 0.500), Os at (0.000, 0.000, 0.500) and Br at (0.500, 0.500, 0.000).

The formation energy from raw total energies is 0.007 eV per atom. The energy is -49.9824 eV/atom. The calculation puts the theoretical density at 8.3 g cm⁻³.